(1)
Compound: Cr5Bi3Te12
Source: Alexandria via LeMat-Bulk
Functional: PBE-GGA
Structure: relaxed

Output
M_tot: 60.00 Bohr magnetons per cell
E: -97.77 eV per formula unit
raw formation energy: -15.6 meV/atom

Lattice parameters (Å, degrees): 14.8232 14.8232 14.8232 109.47 109.47 109.47
Fractional coordinates of all 80 atoms:
Bi  0.7500  0.3750  0.1250
Bi  0.8750  0.7500  0.1250
Bi  0.3750  0.7500  0.6250
Bi  0.2500  0.1250  0.3750
Bi  0.8750  0.1250  0.2500
Bi  0.3750  0.6250  0.2500
Bi  0.6250  0.3750  0.7500
Bi  0.1250  0.8750  0.7500
Bi  0.7500  0.8750  0.6250
Bi  0.6250  0.2500  0.3750
Bi  0.1250  0.2500  0.8750
Bi  0.2500  0.6250  0.8750
Cr  0.1250  0.3750  0.2500
Cr  0.0000  0.5000  0.0000
Cr  0.0000  0.0000  0.0000
Cr  0.3750  0.2500  0.1250
Cr  0.5000  0.0000  0.5000
Cr  0.5000  0.5000  0.0000
Cr  0.1250  0.7500  0.3750
Cr  0.7500  0.1250  0.8750
Cr  0.7500  0.6250  0.3750
Cr  0.3750  0.1250  0.7500
Cr  0.6250  0.8750  0.2500
Cr  0.5000  0.5000  0.5000
Cr  0.5000  0.0000  0.0000
Cr  0.0000  0.0000  0.5000
Cr  0.2500  0.3750  0.6250
Cr  0.2500  0.8750  0.1250
Cr  0.0000  0.5000  0.5000
Cr  0.8750  0.2500  0.6250
Cr  0.6250  0.7500  0.8750
Cr  0.8750  0.6250  0.7500
Te  0.7042  0.1207  0.0277
Te  0.3234  0.5277  0.4069
Te  0.9723  0.3793  0.2958
Te  0.5277  0.2042  0.1207
Te  0.5835  0.7042  0.6766
Te  0.9723  0.5931  0.1766
Te  0.3234  0.7958  0.4165
Te  0.0931  0.9165  0.1207
Te  0.5931  0.9723  0.6766
Te  0.7042  0.5835  0.1766
Te  0.7958  0.4723  0.3793
Te  0.8234  0.9069  0.0277
Te  0.1207  0.7042  0.5277
Te  0.3793  0.4069  0.0835
Te  0.0835  0.9069  0.3793
Te  0.4165  0.1207  0.5931
Te  0.0835  0.1766  0.2042
Te  0.4723  0.6766  0.0931
Te  0.8234  0.9165  0.2958
Te  0.1207  0.4165  0.0931
Te  0.3793  0.9723  0.7958
Te  0.5931  0.6207  0.4165
Te  0.9069  0.8234  0.5277
Te  0.7958  0.3234  0.9165
Te  0.4069  0.3793  0.5835
Te  0.0931  0.1766  0.4723
Te  0.2042  0.6766  0.0835
Te  0.1766  0.0835  0.7042
Te  0.6207  0.0277  0.2042
Te  0.8793  0.5835  0.9069
Te  0.5277  0.3234  0.9069
Te  0.5835  0.8793  0.4069
Te  0.9165  0.8234  0.7958
Te  0.9165  0.0931  0.6207
Te  0.8793  0.2958  0.4723
Te  0.1766  0.0931  0.9723
Te  0.6207  0.5931  0.9165
Te  0.4069  0.0277  0.3234
Te  0.2958  0.4165  0.8234
Te  0.2042  0.5277  0.6207
Te  0.9069  0.0835  0.8793
Te  0.6766  0.2042  0.5835
Te  0.4723  0.7958  0.8793
Te  0.0277  0.4069  0.8234
Te  0.4165  0.2958  0.3234
Te  0.0277  0.6207  0.7042
Te  0.6766  0.4723  0.5931
Te  0.2958  0.8793  0.9723


(2)
Compound: PrNd2Au
Source: Alexandria via LeMat-Bulk
Functional: PBE-GGA
Structure: relaxed

Output
M_tot: 0.00 Bohr magnetons per cell
E: -19.03 eV per formula unit
energy above the lowest structure with this stoichiometry: 29 meV per atom
formation energy from the elements: -0.361 eV/atom

Lattice parameters (Å, degrees): 3.7526 3.7526 8.7345 90.00 90.00 90.00
Fractional coordinates of all 4 atoms:
Pr  0.5000  0.5000  0.5000
Nd  0.0000  0.0000  0.7943
Nd  0.0000  0.0000  0.2057
Au  0.5000  0.5000  0.0000


(3)
Compound: ReAgTe2
Source: Alexandria via LeMat-Bulk
Functional: PBE-GGA
Structure: relaxed

Output
M_tot: 0.00 Bohr magnetons per cell
E: -19.69 eV per formula unit
raw formation energy: 473.8 meV/atom
energy above the lowest structure with this stoichiometry: 159 meV per atom

Lattice parameters (Å, degrees): 3.2682 3.2682 8.0263 90.00 90.00 90.00
Fractional coordinates of all 4 atoms:
Re  0.5000  0.5000  0.7500
Te  0.0000  0.0000  0.9605
Te  0.0000  0.0000  0.5395
Ag  0.5000  0.5000  0.2500


Question: The lowest E belongs to which entry?
Answer: Cr5Bi3Te12


Question: What is the E in the first record?
Answer: -97.77 eV per formula unit


Question: Number 2 is which compound?
Answer: PrNd2Au


Question: M_tot of number 3 (ReAgTe2)?
Answer: 0.00 Bohr magnetons per cell